No. 1
! GdNbAsO | OQMD via LeMat-Bulk | PBE | optimized geometry; values from VASP
&SYSTEM
  ibrav = 0, nat = 8, ntyp = 4
/
ATOMIC_SPECIES
Nb 92.91 Nb.upf
As 74.92 As.upf
Gd 157.25 Gd.upf
O 16.00 O.upf
CELL_PARAMETERS angstrom
-3.017 2.559 -1.248
0.162 -1.662 -3.798
-5.468 -5.407 2.133
ATOMIC_POSITIONS crystal
Nb 0.000 0.500 0.897
Nb 0.500 0.000 0.103
As 0.500 0.000 0.756
As 0.000 0.500 0.244
Gd 0.000 0.000 0.500
Gd 0.500 0.500 0.500
O 0.000 0.000 0.000
O 0.500 0.500 0.000
! **Energy above the most stable polymorph in this dataset**: 1140 meV per atom
! **Size of the total moment**: 0.06 μB per formula unit
! **Space-group type**: P4/nmm, No. 129

No. 2
! GdNbAsO | OQMD via LeMat-Bulk | PBE | optimized geometry; values from VASP
&SYSTEM
  ibrav = 0, nat = 8, ntyp = 4
/
ATOMIC_SPECIES
Nb 92.91 Nb.upf
O 16.00 O.upf
Gd 157.25 Gd.upf
As 74.92 As.upf
CELL_PARAMETERS angstrom
-2.942 2.593 -0.704
-1.792 -2.671 -2.351
-4.560 -3.232 7.148
ATOMIC_POSITIONS crystal
Nb 0.750 0.250 0.500
Nb 0.250 0.750 0.500
O 0.250 0.750 0.000
O 0.750 0.250 0.000
Gd 0.750 0.750 0.877
Gd 0.250 0.250 0.123
As 0.750 0.750 0.302
As 0.250 0.250 0.698
! **Energy above the most stable polymorph in this dataset**: 0 meV per atom
! **Size of the total moment**: 0.08 μB per formula unit
! **Space-group type**: P4/nmm, No. 129

No. 3
! NdGd2As3 | OQMD via LeMat-Bulk | PBE | optimized geometry; values from VASP
&SYSTEM
  ibrav = 0, nat = 6, ntyp = 3
/
ATOMIC_SPECIES
Gd 157.25 Gd.upf
As 74.92 As.upf
Nd 144.24 Nd.upf
CELL_PARAMETERS angstrom
4.194 0.000 0.000
-2.097 3.632 0.000
0.000 0.000 10.267
ATOMIC_POSITIONS crystal
Gd 0.667 0.333 0.164
Gd 0.333 0.667 0.836
As 0.333 0.667 0.327
As 0.667 0.333 0.673
As 0.000 0.000 0.000
Nd 0.000 0.000 0.500
! **Size of the total moment**: 0.00 μB per formula unit
! **VASP energy**: -37.21 eV per cell
! **Space-group type**: P-3m1, No. 164

No. 4
! Nd2GdAs3 | OQMD via LeMat-Bulk | PBE | optimized geometry; values from VASP
&SYSTEM
  ibrav = 0, nat = 6, ntyp = 3
/
ATOMIC_SPECIES
As 74.92 As.upf
Nd 144.24 Nd.upf
Gd 157.25 Gd.upf
CELL_PARAMETERS angstrom
4.233 0.000 0.000
-2.117 3.666 0.000
0.000 0.000 10.358
ATOMIC_POSITIONS crystal
As 0.667 0.333 0.661
As 0.000 0.000 0.000
As 0.333 0.667 0.339
Nd 0.333 0.667 0.831
Nd 0.667 0.333 0.169
Gd 0.000 0.000 0.500
! **Size of the total moment**: 0.00 μB per formula unit
! **VASP energy**: -37.26 eV per cell
! **Space-group type**: P-3m1, No. 164

No. 5
! NdGdAsO | OQMD via LeMat-Bulk | PBE | optimized geometry; values from VASP
&SYSTEM
  ibrav = 0, nat = 8, ntyp = 4
/
ATOMIC_SPECIES
Gd 157.25 Gd.upf
O 16.00 O.upf
Nd 144.24 Nd.upf
As 74.92 As.upf
CELL_PARAMETERS angstrom
-1.732 -3.751 -1.271
5.040 -3.782 4.294
-3.918 0.193 4.768
ATOMIC_POSITIONS crystal
Gd 0.500 0.607 0.519
Gd 0.500 0.393 0.019
O 0.500 0.332 0.374
O 0.500 0.668 0.874
Nd 0.000 0.202 0.435
Nd 0.000 0.798 0.935
As 0.000 0.824 0.426
As 0.000 0.176 0.926
! **Energy above the most stable polymorph in this dataset**: 0 meV per atom
! **Size of the total moment**: 0.01 μB per formula unit
! **Space-group type**: Pmc2_1, No. 26

No. 6
! NdGdAsO | OQMD via LeMat-Bulk | PBE | optimized geometry; values from VASP
&SYSTEM
  ibrav = 0, nat = 8, ntyp = 4
/
ATOMIC_SPECIES
Nd 144.24 Nd.upf
Gd 157.25 Gd.upf
As 74.92 As.upf
O 16.00 O.upf
CELL_PARAMETERS angstrom
4.422 0.000 0.000
0.000 4.422 0.000
0.000 0.000 9.093
ATOMIC_POSITIONS crystal
Nd 0.500 0.000 0.107
Nd 0.000 0.500 0.893
Gd 0.500 0.500 0.500
Gd 0.000 0.000 0.500
As 0.500 0.000 0.701
As 0.000 0.500 0.299
O 0.000 0.000 0.000
O 0.500 0.500 0.000
! **Energy above the most stable polymorph in this dataset**: 70 meV per atom
! **Size of the total moment**: 0.03 μB per formula unit
! **Space-group type**: P4/nmm, No. 129

No. 7
! NdGdAsO | OQMD via LeMat-Bulk | PBE | optimized geometry; values from VASP
&SYSTEM
  ibrav = 0, nat = 8, ntyp = 4
/
ATOMIC_SPECIES
Nd 144.24 Nd.upf
O 16.00 O.upf
Gd 157.25 Gd.upf
As 74.92 As.upf
CELL_PARAMETERS angstrom
-2.616 -0.068 -3.464
-0.545 -4.278 0.495
-7.266 1.557 5.456
ATOMIC_POSITIONS crystal
Nd 0.500 0.500 0.500
Nd 0.000 0.000 0.500
O 0.000 0.000 0.000
O 0.500 0.500 0.000
Gd 0.500 0.000 0.098
Gd 0.000 0.500 0.902
As 0.500 0.000 0.717
As 0.000 0.500 0.283
! **Energy above the most stable polymorph in this dataset**: 136 meV per atom
! **Size of the total moment**: 0.04 μB per formula unit
! **Space-group type**: P4/nmm, No. 129

No. 8
! NdGdAsO | OQMD via LeMat-Bulk | PBE | optimized geometry; values from VASP
&SYSTEM
  ibrav = 0, nat = 8, ntyp = 4
/
ATOMIC_SPECIES
As 74.92 As.upf
Nd 144.24 Nd.upf
O 16.00 O.upf
Gd 157.25 Gd.upf
CELL_PARAMETERS angstrom
-2.297 -3.482 0.573
4.936 -2.294 5.851
-3.315 2.829 3.906
ATOMIC_POSITIONS crystal
As 0.000 0.149 0.934
As 0.000 0.851 0.434
Nd 0.500 0.617 0.491
Nd 0.500 0.383 0.991
O 0.500 0.678 0.891
O 0.500 0.322 0.391
Gd 0.000 0.205 0.438
Gd 0.000 0.795 0.938
! **Energy above the most stable polymorph in this dataset**: 37 meV per atom
! **Size of the total moment**: 0.23 μB per formula unit
! **Space-group type**: Pmc2_1, No. 26

No. 9
! NdGdZn2As2O2 | OQMD via LeMat-Bulk | PBE | optimized geometry; values from VASP
&SYSTEM
  ibrav = 0, nat = 8, ntyp = 5
/
ATOMIC_SPECIES
Zn 65.41 Zn.upf
Gd 157.25 Gd.upf
As 74.92 As.upf
O 16.00 O.upf
Nd 144.24 Nd.upf
CELL_PARAMETERS angstrom
-1.837 -1.342 -3.301
-0.147 -3.683 1.579
-7.966 1.890 3.665
ATOMIC_POSITIONS crystal
Zn 0.500 0.000 0.499
Zn 0.000 0.500 0.499
Gd 0.000 0.000 0.125
As 0.000 0.000 0.679
As 0.500 0.500 0.321
O 0.000 0.500 0.004
O 0.500 0.000 0.004
Nd 0.500 0.500 0.869
! **Size of the total moment**: 0.00 μB per formula unit
! **VASP energy**: -45.63 eV per cell
! **Space-group type**: P4mm, No. 99

No. 10
! NdGdZr2As2 | OQMD via LeMat-Bulk | PBE | optimized geometry; values from VASP
&SYSTEM
  ibrav = 0, nat = 6, ntyp = 4
/
ATOMIC_SPECIES
As 74.92 As.upf
Zr 91.22 Zr.upf
Nd 144.24 Nd.upf
Gd 157.25 Gd.upf
CELL_PARAMETERS angstrom
6.865 3.825 -3.540
3.481 7.832 -0.916
-3.678 -6.201 4.724
ATOMIC_POSITIONS crystal
As 0.872 0.872 0.000
As 0.129 0.129 0.000
Zr 0.001 0.501 0.500
Zr 0.501 0.001 0.500
Nd 0.322 0.322 0.000
Gd 0.676 0.676 0.000
! **Size of the total moment**: 0.03 μB per formula unit
! **VASP energy**: -41.78 eV per cell
! **Space-group type**: I4mm, No. 107